# 1
Material: PmNd2SmHo5
Method: DFT, PBE-GGA
State: relaxed

The space group is I4/mcm (No. 140) and the conventional cell measures 8.695, 8.695 and 15.606 Å, with angles of 90.00, 90.00 and 90.00 degrees. Symmetry generates all atoms from Pm at (0.000, 0.000, 0.250), Nd at (0.118, 0.382, 0.000), Sm at (0.000, 0.500, 0.250), Ho at (0.000, 0.000, 0.000) and Ho at (0.210, 0.290, 0.362).

For the total energy, the calculation gives -4.40 eV/atom. Its calculated volume is 1179.8 Å³ per cell. The calculation puts the density at 7.93 g/cm3.

# 2
Material: Pm2Nd2SmHo2
Method: DFT, PBE-GGA
State: relaxed

The space group is C2/m (No. 12) and the conventional cell measures 11.428, 5.120 and 8.107 Å, with angles of 90.00, 98.13 and 90.00 degrees. Symmetry generates all atoms from Pm at (0.143, 0.000, 0.429), Nd at (0.071, 0.500, 0.718), Sm at (0.000, 0.000, 0.000) and Ho at (0.215, 0.500, 0.141).

For the total energy, the calculation gives -4.69 eV/atom. Its calculated volume is 469.6 Å³ per cell. The calculation puts the density at 7.49 g/cm3.

# 3
Material: Pm2NdSm5Ho
Method: DFT, PBE-GGA
State: relaxed

The space group is I4/mcm (No. 140) and the conventional cell measures 8.833, 8.833 and 15.756 Å, with angles of 90.00, 90.00 and 90.00 degrees. Symmetry generates all atoms from Pm at (0.117, 0.383, 0.000), Nd at (0.000, 0.000, 0.250), Sm at (0.000, 0.000, 0.000), Sm at (0.209, 0.291, 0.362) and Ho at (0.000, 0.500, 0.250).

For the total energy, the calculation gives -4.44 eV/atom. Its calculated volume is 1229.1 Å³ per cell. The calculation puts the density at 7.30 g/cm3.

Please write out number 3 again, unchanged.
Material: Pm2NdSm5Ho
Method: DFT, PBE-GGA
State: relaxed

The space group is I4/mcm (No. 140) and the conventional cell measures 8.833, 8.833 and 15.756 Å, with angles of 90.00, 90.00 and 90.00 degrees. Symmetry generates all atoms from Pm at (0.117, 0.383, 0.000), Nd at (0.000, 0.000, 0.250), Sm at (0.000, 0.000, 0.000), Sm at (0.209, 0.291, 0.362) and Ho at (0.000, 0.500, 0.250).

For the total energy, the calculation gives -4.44 eV/atom. Its calculated volume is 1229.1 Å³ per cell. The calculation puts the density at 7.30 g/cm3.

> Among the records above, which one has the highest calculated volume?

Pm2NdSm5Ho

> What is the calculated volume in the second record?

469.6 Å³ per cell

> What is the calculated volume in the first record?

1179.8 Å³ per cell